# 1
The following is a DFT calculation (GGA-PBE) of a relaxed structure of HoAlBi2.

It has space group R-3m (No. 166, hexagonal axes), with a = 4.9291 Å, b = 4.9291 Å, c = 24.4171 Å, α = 90.00°, β = 90.00° and γ = 120.00°. The inequivalent atoms are Ho at (0.0000, 0.0000, 0.0000), Al at (0.0000, 0.0000, 0.5000) and Bi at (0.0000, 0.0000, 0.3928).

The calculation puts the formation energy from the elements at 0.154 eV per atom. The calculation puts the energy relative to the lowest polymorph listed for this composition at 390 meV/atom.



# 2
The following is a DFT calculation (GGA-PBE) of a relaxed structure of La5SbPb3.

It has space group P6_3/mcm (No. 193), with a = 9.9117 Å, b = 9.9117 Å, c = 7.1618 Å, α = 90.00°, β = 90.00° and γ = 120.00°. The inequivalent atoms are La at (0.0000, 0.2606, 0.2500), La at (0.3333, 0.6667, 0.0000), Sb at (0.0000, 0.0000, 0.0000) and Pb at (0.0000, 0.3906, 0.7500).

For the formation energy from raw total energies, the calculation gives -0.74 eV per atom.



# 3
The following is a DFT calculation (GGA-PBE) of a relaxed structure of Zr2ScPb.

It has space group Cmm2 (No. 35), with a = 4.573 Å, b = 4.588 Å, c = 9.196 Å, α = 90.00°, β = 90.00° and γ = 90.00°. The inequivalent atoms are Zr at (0.000, 0.000, 0.000), Zr at (0.000, 0.500, 0.244), Sc at (0.000, 0.000, 0.488) and Pb at (0.000, 0.500, 0.744).

The calculation puts the formation energy from the elements at -0.103 eV per atom.



# 4
The following is a DFT calculation (GGA-PBE) of a relaxed structure of Zn5Si3.

It has space group Cmmm (No. 65), with a = 7.790 Å, b = 8.050 Å, c = 3.929 Å, α = 90.00°, β = 90.00° and γ = 90.00°. The inequivalent atoms are Zn at (0.000, 0.000, 0.000), Zn at (0.000, 0.237, 0.500), Zn at (0.250, 0.250, 0.000), Si at (0.000, 0.500, 0.000) and Si at (0.238, 0.500, 0.500).

For the formation energy from raw total energies, the calculation gives 0.27 eV per atom. The calculation puts the energy relative to the lowest polymorph listed for this composition at 52 meV/atom.